# YMnHg | Alexandria | PBEsol | optimized geometry
# - D(E_F) (states/eV/cell) = 3.92
# - symmetry = F-43m
# - uncorrected energy (eV/atom) = -5.437
data_YMnHg
_symmetry_space_group_name_H-M 'P 1'
_symmetry_Int_Tables_number 1
_symmetry_space_group_name_Hall 'P 1'
_cell_length_a 4.593
_cell_length_b 4.593
_cell_length_c 4.593
_cell_angle_alpha 60.00
_cell_angle_beta 60.00
_cell_angle_gamma 60.00
loop_
_atom_site_label
_atom_site_fract_x
_atom_site_fract_y
_atom_site_fract_z
_atom_site_occupancy
Hg1 0.500 0.500 0.500 1
Mn1 0.250 0.250 0.250 1
Y1 0.000 0.000 0.000 1

=====

# YMnHg | Alexandria | PBEsol | optimized geometry
# - D(E_F) (states/eV/cell) = 2.67
# - symmetry = I4mm
# - uncorrected energy (eV/atom) = -5.714
data_YMnHg
_symmetry_space_group_name_H-M 'P 1'
_symmetry_Int_Tables_number 1
_symmetry_space_group_name_Hall 'P 1'
_cell_length_a 3.398
_cell_length_b 3.398
_cell_length_c 5.856
_cell_angle_alpha 106.86
_cell_angle_beta 106.86
_cell_angle_gamma 90.00
loop_
_atom_site_label
_atom_site_fract_x
_atom_site_fract_y
_atom_site_fract_z
_atom_site_occupancy
Y1 0.325 0.325 0.649 1
Hg1 0.021 0.021 0.041 1
Mn1 0.655 0.655 0.309 1

=====

# YMnHg3 | Alexandria | PBEsol | optimized geometry
# - D(E_F) (states/eV/cell) = 5.60
# - symmetry = Pm-3m
# - uncorrected energy (eV/atom) = -3.437
data_YMnHg3
_symmetry_space_group_name_H-M 'P 1'
_symmetry_Int_Tables_number 1
_symmetry_space_group_name_Hall 'P 1'
_cell_length_a 4.942
_cell_length_b 4.942
_cell_length_c 4.942
_cell_angle_alpha 90.00
_cell_angle_beta 90.00
_cell_angle_gamma 90.00
loop_
_atom_site_label
_atom_site_fract_x
_atom_site_fract_y
_atom_site_fract_z
_atom_site_occupancy
Y1 0.500 0.500 0.500 1
Hg1 0.500 0.000 0.000 1
Hg2 0.000 0.000 0.500 1
Hg3 0.000 0.500 0.000 1
Mn1 0.000 0.000 0.000 1

=====

# ZrMnHg | Alexandria | PBEsol | optimized geometry
# - D(E_F) (states/eV/cell) = 5.20
# - symmetry = F-43m
# - uncorrected energy (eV/atom) = -5.687
data_ZrMnHg
_symmetry_space_group_name_H-M 'P 1'
_symmetry_Int_Tables_number 1
_symmetry_space_group_name_Hall 'P 1'
_cell_length_a 4.554
_cell_length_b 4.554
_cell_length_c 4.554
_cell_angle_alpha 60.00
_cell_angle_beta 60.00
_cell_angle_gamma 60.00
loop_
_atom_site_label
_atom_site_fract_x
_atom_site_fract_y
_atom_site_fract_z
_atom_site_occupancy
Mn1 0.500 0.500 0.500 1
Zr1 0.750 0.750 0.750 1
Hg1 0.000 0.000 0.000 1

=====

# ZrMn2Hg | Alexandria | PBEsol | optimized geometry
# - D(E_F) (states/eV/cell) = 3.05
# - symmetry = P4mm
# - uncorrected energy (eV/atom) = -7.226
data_ZrMn2Hg
_symmetry_space_group_name_H-M 'P 1'
_symmetry_Int_Tables_number 1
_symmetry_space_group_name_Hall 'P 1'
_cell_length_a 2.900
_cell_length_b 2.900
_cell_length_c 7.261
_cell_angle_alpha 90.00
_cell_angle_beta 90.00
_cell_angle_gamma 90.00
loop_
_atom_site_label
_atom_site_fract_x
_atom_site_fract_y
_atom_site_fract_z
_atom_site_occupancy
Mn1 0.000 0.000 0.199 1
Mn2 0.500 0.500 0.054 1
Zr1 0.500 0.500 0.463 1
Hg1 0.000 0.000 0.784 1

=====

# ZrMnHg | Alexandria | PBEsol | optimized geometry
# - D(E_F) (states/eV/cell) = 2.37
# - symmetry = I4mm
# - uncorrected energy (eV/atom) = -6.446
data_ZrMnHg
_symmetry_space_group_name_H-M 'P 1'
_symmetry_Int_Tables_number 1
_symmetry_space_group_name_Hall 'P 1'
_cell_length_a 3.408
_cell_length_b 3.408
_cell_length_c 5.225
_cell_angle_alpha 109.03
_cell_angle_beta 109.03
_cell_angle_gamma 90.00
loop_
_atom_site_label
_atom_site_fract_x
_atom_site_fract_y
_atom_site_fract_z
_atom_site_occupancy
Mn1 0.332 0.332 0.664 1
Hg1 0.992 0.992 0.983 1
Zr1 0.677 0.677 0.353 1

=====

# ZrMn2Hg | Alexandria | PBEsol | optimized geometry
# - D(E_F) (states/eV/cell) = 3.57
# - symmetry = I4/mmm
# - uncorrected energy (eV/atom) = -7.111
data_ZrMn2Hg
_symmetry_space_group_name_H-M 'P 1'
_symmetry_Int_Tables_number 1
_symmetry_space_group_name_Hall 'P 1'
_cell_length_a 4.094
_cell_length_b 4.094
_cell_length_c 4.837
_cell_angle_alpha 115.04
_cell_angle_beta 115.04
_cell_angle_gamma 90.00
loop_
_atom_site_label
_atom_site_fract_x
_atom_site_fract_y
_atom_site_fract_z
_atom_site_occupancy
Zr1 0.000 0.000 0.000 1
Mn1 0.750 0.250 0.500 1
Mn2 0.250 0.750 0.500 1
Hg1 0.500 0.500 0.000 1

=====

# ZrMnHg | Alexandria | PBEsol | optimized geometry
# - D(E_F) (states/eV/cell) = 1.55
# - symmetry = P3m1
# - uncorrected energy (eV/atom) = -6.253
data_ZrMnHg
_symmetry_space_group_name_H-M 'P 1'
_symmetry_Int_Tables_number 1
_symmetry_space_group_name_Hall 'P 1'
_cell_length_a 3.091
_cell_length_b 3.091
_cell_length_c 6.841
_cell_angle_alpha 90.00
_cell_angle_beta 90.00
_cell_angle_gamma 120.00
loop_
_atom_site_label
_atom_site_fract_x
_atom_site_fract_y
_atom_site_fract_z
_atom_site_occupancy
Hg1 0.000 0.000 0.984 1
Zr1 0.333 0.667 0.351 1
Mn1 0.667 0.333 0.665 1

=====

# Hg3Mo | Alexandria | PBEsol | optimized geometry
# - D(E_F) (states/eV/cell) = 2.56
# - symmetry = Pm-3m
# - uncorrected energy (eV/atom) = -2.925
data_Hg3Mo
_symmetry_space_group_name_H-M 'P 1'
_symmetry_Int_Tables_number 1
_symmetry_space_group_name_Hall 'P 1'
_cell_length_a 4.218
_cell_length_b 4.219
_cell_length_c 4.219
_cell_angle_alpha 90.00
_cell_angle_beta 90.00
_cell_angle_gamma 90.00
loop_
_atom_site_label
_atom_site_fract_x
_atom_site_fract_y
_atom_site_fract_z
_atom_site_occupancy
Hg1 0.000 0.000 0.500 1
Hg2 0.500 0.500 0.500 1
Hg3 0.000 0.500 0.000 1
Mo1 0.500 0.000 0.000 1

=====

# Hg2Mo | Alexandria | PBEsol | optimized geometry
# - D(E_F) (states/eV/cell) = 4.57
# - symmetry = I4/mcm
# - uncorrected energy (eV/atom) = -3.815
data_Hg2Mo
_symmetry_space_group_name_H-M 'P 1'
_symmetry_Int_Tables_number 1
_symmetry_space_group_name_Hall 'P 1'
_cell_length_a 4.965
_cell_length_b 5.524
_cell_length_c 5.524
_cell_angle_alpha 78.35
_cell_angle_beta 63.30
_cell_angle_gamma 63.30
loop_
_atom_site_label
_atom_site_fract_x
_atom_site_fract_y
_atom_site_fract_z
_atom_site_occupancy
Hg1 0.666 0.168 0.500 1
Hg2 0.166 0.500 0.168 1
Hg3 0.334 0.832 0.500 1
Hg4 0.834 0.500 0.832 1
Mo1 0.750 0.000 0.000 1
Mo2 0.250 0.000 0.000 1

=====

# HgMo | Alexandria | PBEsol | optimized geometry
# - D(E_F) (states/eV/cell) = 1.73
# - symmetry = F-43m
# - uncorrected energy (eV/atom) = -3.854
data_HgMo
_symmetry_space_group_name_H-M 'P 1'
_symmetry_Int_Tables_number 1
_symmetry_space_group_name_Hall 'P 1'
_cell_length_a 4.180
_cell_length_b 4.180
_cell_length_c 4.180
_cell_angle_alpha 60.00
_cell_angle_beta 60.00
_cell_angle_gamma 60.00
loop_
_atom_site_label
_atom_site_fract_x
_atom_site_fract_y
_atom_site_fract_z
_atom_site_occupancy
Mo1 0.750 0.750 0.750 1
Hg1 0.000 0.000 0.000 1

=====

# HgMo | Alexandria | PBEsol | optimized geometry
# - D(E_F) (states/eV/cell) = 2.75
# - symmetry = I4_1/amd
# - uncorrected energy (eV/atom) = -5.601
data_HgMo
_symmetry_space_group_name_H-M 'P 1'
_symmetry_Int_Tables_number 1
_symmetry_space_group_name_Hall 'P 1'
_cell_length_a 4.068
_cell_length_b 4.068
_cell_length_c 5.039
_cell_angle_alpha 113.80
_cell_angle_beta 113.80
_cell_angle_gamma 90.00
loop_
_atom_site_label
_atom_site_fract_x
_atom_site_fract_y
_atom_site_fract_z
_atom_site_occupancy
Hg1 0.250 0.750 0.500 1
Hg2 0.000 0.000 0.000 1
Mo1 0.500 0.500 0.000 1
Mo2 0.750 0.250 0.500 1